[1]
# LiFe2Tc (PBE, relaxed)
# total energy	-7.07	eV per atom
data_LiFe2Tc
_chemical_formula_sum 'Li1 Fe2 Tc1'
_cell_length_a 2.474
_cell_length_b 4.166
_cell_length_c 4.903
_cell_angle_alpha 90.00
_cell_angle_beta 100.23
_cell_angle_gamma 90.00
_symmetry_space_group_name_H-M 'P 1'
_symmetry_Int_Tables_number 1
loop_
_symmetry_equiv_pos_as_xyz
'x,y,z'
loop_
_atom_site_label
_atom_site_type_symbol
_atom_site_fract_x
_atom_site_fract_y
_atom_site_fract_z
Li1 Li 0.000 0.000 0.000
Fe1 Fe 0.228 0.500 0.750
Fe2 Fe 0.772 0.500 0.250
Tc1 Tc 0.500 0.000 0.500

---

[2]
# LiFeTc2 (PBE, relaxed)
# energy above the lowest structure with this stoichiometry	53.8	meV/atom
data_LiFeTc2
_chemical_formula_sum 'Li1 Fe1 Tc2'
_cell_length_a 3.070
_cell_length_b 3.070
_cell_length_c 5.555
_cell_angle_alpha 90.00
_cell_angle_beta 90.00
_cell_angle_gamma 90.00
_symmetry_space_group_name_H-M 'P 1'
_symmetry_Int_Tables_number 1
loop_
_symmetry_equiv_pos_as_xyz
'x,y,z'
loop_
_atom_site_label
_atom_site_type_symbol
_atom_site_fract_x
_atom_site_fract_y
_atom_site_fract_z
Li1 Li 0.000 0.000 0.000
Fe1 Fe 0.500 0.500 0.785
Tc1 Tc 0.000 0.000 0.508
Tc2 Tc 0.500 0.500 0.250

---

[3]
# LiFeTc2 (PBE, relaxed)
# energy above the lowest structure with this stoichiometry	50.0	meV/atom
data_LiFeTc2
_chemical_formula_sum 'Li1 Fe1 Tc2'
_cell_length_a 2.512
_cell_length_b 4.119
_cell_length_c 5.111
_cell_angle_alpha 90.00
_cell_angle_beta 90.00
_cell_angle_gamma 90.00
_symmetry_space_group_name_H-M 'P 1'
_symmetry_Int_Tables_number 1
loop_
_symmetry_equiv_pos_as_xyz
'x,y,z'
loop_
_atom_site_label
_atom_site_type_symbol
_atom_site_fract_x
_atom_site_fract_y
_atom_site_fract_z
Li1 Li 0.000 0.000 0.000
Fe1 Fe 0.000 0.000 0.500
Tc1 Tc 0.500 0.500 0.247
Tc2 Tc 0.500 0.500 0.753

---

[4]
# LiFeTc (PBE, relaxed)
# energy above the lowest structure with this stoichiometry	390.2	meV/atom
data_LiFeTc
_chemical_formula_sum 'Li4 Fe4 Tc4'
_cell_length_a 5.486
_cell_length_b 5.486
_cell_length_c 5.486
_cell_angle_alpha 90.00
_cell_angle_beta 90.00
_cell_angle_gamma 90.00
_symmetry_space_group_name_H-M 'P 1'
_symmetry_Int_Tables_number 1
loop_
_symmetry_equiv_pos_as_xyz
'x,y,z'
loop_
_atom_site_label
_atom_site_type_symbol
_atom_site_fract_x
_atom_site_fract_y
_atom_site_fract_z
Li1 Li 0.000 0.000 0.000
Li2 Li 0.000 0.500 0.500
Li3 Li 0.500 0.000 0.500
Li4 Li 0.500 0.500 0.000
Fe1 Fe 0.250 0.250 0.750
Fe2 Fe 0.250 0.750 0.250
Fe3 Fe 0.750 0.250 0.250
Fe4 Fe 0.750 0.750 0.750
Tc1 Tc 0.000 0.000 0.500
Tc2 Tc 0.000 0.500 0.000
Tc3 Tc 0.500 0.000 0.000
Tc4 Tc 0.500 0.500 0.500